(1)
SrAuF2 after structural relaxation. Source: Alexandria via LeMat-Bulk, functional PBE-GGA.

polymorph energy (0 for the lowest one) = 0.95 eV per formula unit
E_form (uncorrected) = -2085 meV/atom
N(E_F) = 0.16 states/eV per atom
symmetry = I-42d, No. 122

```
SrAuF2
1.0
-3.9832 -3.2000 2.3112
2.0270 -4.4756 -2.7034
2.8674 -5.0694 4.7262
F Sr Au
4 2 2
direct
0.8750 0.7957 0.7500
0.5457 0.1250 0.2500
0.2043 0.6250 0.2500
0.3750 0.4543 0.7500
0.5000 0.5000 0.0000
0.2500 0.7500 0.5000
0.7500 0.2500 0.5000
0.0000 0.0000 0.0000
```

---

(2)
RbSr3Ca after structural relaxation. Source: Alexandria via LeMat-Bulk, functional PBE-GGA.

polymorph energy (0 for the lowest one) = 0.00 eV per formula unit
N(E_F) = 1.58 states/eV per atom
symmetry = Pm-3m, No. 221
energy relative to the elements = 453 meV per atom

```
RbSr3Ca
1.0
-4.9334 -5.2031 -0.0884
4.1832 -4.0376 4.1972
-3.0953 2.8361 5.8132
Ca Sr Rb
1 3 1
direct
0.0000 0.0000 0.0000
0.0000 0.0000 0.5000
0.5000 0.0000 0.0000
0.0000 0.5000 0.0000
0.5000 0.5000 0.5000
```

---

(3)
Si2WSe after structural relaxation. Source: Alexandria via LeMat-Bulk, functional PBE-GGA.

E_form (uncorrected) = 409 meV/atom
N(E_F) = 0.64 states/eV per atom
symmetry = Cmmm, No. 65

```
Si2WSe
1.0
2.7270 0.0050 0.0000
-0.5149 2.6779 0.0000
0.0000 0.0000 9.5393
Si Se W
2 1 1
direct
0.0000 0.0000 0.0426
0.0000 0.0000 0.4574
0.5000 0.5000 0.7500
0.5000 0.5000 0.2500
```

---

(4)
U2AlGa4 after structural relaxation. Source: Alexandria via LeMat-Bulk, functional PBE-GGA.

polymorph energy (0 for the lowest one) = 1.19 eV per formula unit
N(E_F) = 1.88 states/eV per atom
symmetry = P-4m2, No. 115
energy relative to the elements = 151 meV per atom

```
U2AlGa4
1.0
-1.4878 3.7993 -2.2641
-2.5058 1.2443 3.7346
5.2510 3.4674 2.3680
U Ga Al
2 4 1
direct
0.5000 0.0000 0.7579
0.0000 0.5000 0.2421
0.5000 0.5000 0.5000
0.0000 0.0000 0.5000
0.0000 0.5000 0.7743
0.5000 0.0000 0.2257
0.5000 0.5000 0.0000
```

---

(5)
Ba2MgBr6 after structural relaxation. Source: Alexandria via LeMat-Bulk, functional PBE-GGA.

polymorph energy (0 for the lowest one) = 0.00 eV per formula unit
E_form (uncorrected) = -1960 meV/atom
N(E_F) = 0.00 states/eV per atom
symmetry = P2_1/c, No. 14

```
Ba2MgBr6
1.0
-4.8780 2.2209 4.8031
-6.1574 -1.6247 -5.5022
-0.9686 -9.4291 3.8681
Br Mg Ba
12 2 4
direct
0.1861 0.3392 0.9502
0.8139 0.6608 0.0498
0.3420 0.7923 0.9471
0.3970 0.5253 0.2501
0.6580 0.2077 0.0529
0.6030 0.4747 0.7499
0.3139 0.8392 0.5498
0.1030 0.0253 0.2499
0.8970 0.9747 0.7501
0.6861 0.1608 0.4502
0.8420 0.7077 0.4471
0.1580 0.2923 0.5529
0.5000 0.5000 0.0000
0.0000 0.0000 0.5000
0.4632 0.1060 0.7562
0.5368 0.8940 0.2438
0.0368 0.6060 0.7438
0.9632 0.3940 0.2562
```

---

(6)
Ag4Bi3SbTe8 after structural relaxation. Source: Alexandria via LeMat-Bulk, functional PBE-GGA.

E_form (uncorrected) = -131 meV/atom
N(E_F) = 0.19 states/eV per atom
symmetry = R-3m, No. 166

```
Ag4Bi3SbTe8
1.0
8.8276 0.0000 0.0000
0.0000 8.6750 -0.1162
-4.4138 -4.4089 6.2450
Bi Te Ag Sb
3 8 4 1
direct
0.0000 0.5000 0.5000
0.5000 0.5000 0.5000
0.5000 0.5000 0.0000
0.2531 0.7655 0.5062
0.7562 0.7683 0.5123
0.7469 0.2345 0.9875
0.7469 0.2345 0.4938
0.2405 0.2345 0.9875
0.2531 0.7655 0.0125
0.2438 0.2317 0.4877
0.7595 0.7655 0.0125
0.5000 0.0000 0.5000
0.0000 0.0000 0.0000
0.5000 0.0000 0.0000
0.0000 0.0000 0.5000
0.0000 0.5000 0.0000
```

---

(7)
Te3PW after structural relaxation. Source: Alexandria via LeMat-Bulk, functional PBE-GGA.

polymorph energy (0 for the lowest one) = 0.00 eV per formula unit
E_form (uncorrected) = 987 meV/atom
N(E_F) = 1.08 states/eV per atom
symmetry = Pm-3m, No. 221

```
Te3PW
1.0
-2.1643 3.0786 3.6439
-2.5715 -4.1232 1.9562
4.0179 -0.9806 3.2148
W P Te
1 1 3
direct
0.0000 0.0000 0.0000
0.5000 0.5000 0.5000
0.0000 0.5000 0.0000
0.5000 0.0000 0.0000
0.0000 0.0000 0.5000
```

---

(8)
NaLaS2 after structural relaxation. Source: Alexandria via LeMat-Bulk, functional PBE-GGA.

E_form (uncorrected) = -1619 meV/atom
N(E_F) = 0.00 states/eV per atom
symmetry = I-42d, No. 122

```
NaLaS2
1.0
6.3756 0.0000 0.0000
0.0000 6.3756 0.0000
3.1878 3.1878 6.5731
Na S La
2 4 2
direct
0.2500 0.7500 0.5000
0.5000 0.5000 0.0000
0.3750 0.3645 0.7500
0.1145 0.6250 0.2500
0.6355 0.1250 0.2500
0.8750 0.8855 0.7500
0.7500 0.2500 0.5000
0.0000 0.0000 0.0000
```